(1)
A plane-wave DFT calculation with PBE was carried out for a relaxed structure of MgZr2Pb.

volume	185.4	Å³/cell
total DFT energy (no corrections)	-45.3	eV/cell
ΔH_f (0 K)	-0.24	eV/f.u.

Unit cell a=11.446 b=3.255 c=5.481 alpha=90.00 beta=114.75 gamma=90.00
Space group Cm (No. 8)
Asymmetric unit:
Mg  0.000  0.000  0.000 x2
Zr  0.253  0.500  0.394 x2
Zr  0.499  0.000  0.503 x2
Pb  0.251  0.000  0.900 x2



(2)
A plane-wave DFT calculation with PBE was carried out for a relaxed structure of Zn2CdSb.

volume	86.0	Å³/cell
total DFT energy (no corrections)	-7.1	eV/cell
polymorph energy (0 for the lowest one)	0.024	eV/atom

Unit cell a=2.980 b=4.236 c=6.865 alpha=90.00 beta=97.38 gamma=90.00
Space group P2/m (No. 10)
Asymmetric unit:
Zn  0.009  0.000  0.213 x2
Cd  0.500  0.500  0.000 x1
Sb  0.000  0.500  0.500 x1



(3)
A plane-wave DFT calculation with PBE was carried out for a relaxed structure of NdPaOs.

volume	323.8	Å³/cell
total DFT energy (no corrections)	-103.3	eV/cell
polymorph energy (0 for the lowest one)	0.025	eV/atom
ΔH_f (0 K)	-0.34	eV/f.u.

Unit cell a=6.593 b=7.252 c=6.789 alpha=90.00 beta=94.14 gamma=90.00
Space group P2_1/c (No. 14)
Asymmetric unit:
Nd  0.079  0.242  0.499 x4
Pa  0.420  0.617  0.729 x4
Os  0.254  0.571  0.306 x4



(4)
A plane-wave DFT calculation with PBE was carried out for a relaxed structure of NaTcW2.

volume	255.3	Å³/cell
total DFT energy (no corrections)	-134.7	eV/cell
polymorph energy (0 for the lowest one)	0.000	eV/atom
ΔH_f (0 K)	3.93	eV/f.u.

Unit cell a=6.344 b=6.344 c=6.344 alpha=90.00 beta=90.00 gamma=90.00
Space group Fm-3m (No. 225)
Asymmetric unit:
Na  0.000  0.000  0.000 x4
Tc  0.000  0.000  0.500 x4
W  0.250  0.250  0.250 x8



(5)
A plane-wave DFT calculation with PBE was carried out for a relaxed structure of YSi2.

volume	431.3	Å³/cell
total DFT energy (no corrections)	-146.0	eV/cell

Unit cell a=7.555 b=7.555 c=7.555 alpha=90.00 beta=90.00 gamma=90.00
Space group Fd-3m (No. 227, origin choice 2)
Asymmetric unit:
Y  0.125  0.125  0.125 x8
Si  0.000  0.000  0.500 x16



(6)
A plane-wave DFT calculation with PBE was carried out for a relaxed structure of CaMnFe2.

volume	131.2	Å³/cell
total DFT energy (no corrections)	-51.0	eV/cell
polymorph energy (0 for the lowest one)	0.297	eV/atom
ΔH_f (0 K)	2.58	eV/f.u.

Unit cell a=3.994 b=3.994 c=8.224 alpha=90.00 beta=90.00 gamma=90.00
Space group I4/mmm (No. 139)
Asymmetric unit:
Ca  0.000  0.000  0.000 x2
Mn  0.000  0.000  0.500 x2
Fe  0.000  0.500  0.250 x4